Version w
# BTe2HI, relaxed, DFT PBE
# M_tot: 0.00 μB per formula unit
# Calculated volume: 151.9 Å³/f.u.
# Theoretical density: 4.3 g/cm³
data_BTe2HI
_chemical_formula_sum 'B1 Te2 H1 I1'
_cell_length_a 4.296
_cell_length_b 4.296
_cell_length_c 8.232
_cell_angle_alpha 90.00
_cell_angle_beta 90.00
_cell_angle_gamma 90.00
_symmetry_space_group_name_H-M 'P 4/m m m'
_symmetry_Int_Tables_number 123
_symmetry_space_group_name_Hall '-P 4 2'
loop_
_atom_site_label
_atom_site_type_symbol
_atom_site_fract_x
_atom_site_fract_y
_atom_site_fract_z
B1 B 0.000 0.000 0.000
Te1 Te 0.000 0.500 0.500
H1 H 0.500 0.500 0.500
I1 I 0.500 0.500 0.000


Version x
# BTe2HI, relaxed, DFT PBE
# M_tot: 0.53 μB per formula unit
# Calculated volume: 125.5 Å³/f.u.
# Theoretical density: 5.2 g/cm³
data_BTe2HI
_chemical_formula_sum 'B1 Te2 H1 I1'
_cell_length_a 4.878
_cell_length_b 4.878
_cell_length_c 5.275
_cell_angle_alpha 90.00
_cell_angle_beta 90.00
_cell_angle_gamma 90.00
_symmetry_space_group_name_H-M 'P 4/m m m'
_symmetry_Int_Tables_number 123
_symmetry_space_group_name_Hall '-P 4 2'
loop_
_atom_site_label
_atom_site_type_symbol
_atom_site_fract_x
_atom_site_fract_y
_atom_site_fract_z
B1 B 0.000 0.000 0.000
Te1 Te 0.000 0.500 0.000
H1 H 0.500 0.500 0.500
I1 I 0.000 0.000 0.500


So which one is most stable? That would be version w, about 0.047 eV/atom below the next structure.


Version w
# BTeHI2, relaxed, DFT PBE
# M_tot: 0.00 μB per formula unit
# Calculated volume: 124.7 Å³/f.u.
# Theoretical density: 5.2 g/cm³
data_BTeHI2
_chemical_formula_sum 'B1 Te1 H1 I2'
_cell_length_a 5.652
_cell_length_b 5.652
_cell_length_c 3.904
_cell_angle_alpha 90.00
_cell_angle_beta 90.00
_cell_angle_gamma 90.00
_symmetry_space_group_name_H-M 'P 4/m m m'
_symmetry_Int_Tables_number 123
_symmetry_space_group_name_Hall '-P 4 2'
loop_
_atom_site_label
_atom_site_type_symbol
_atom_site_fract_x
_atom_site_fract_y
_atom_site_fract_z
B1 B 0.000 0.000 0.000
Te1 Te 0.500 0.500 0.000
H1 H 0.500 0.500 0.500
I1 I 0.000 0.500 0.500


Version x
# BTeHI2, relaxed, DFT PBE
# M_tot: 0.46 μB per formula unit
# Calculated volume: 134.5 Å³/f.u.
# Theoretical density: 4.9 g/cm³
data_BTeHI2
_chemical_formula_sum 'B1 Te1 H1 I2'
_cell_length_a 5.321
_cell_length_b 5.321
_cell_length_c 4.749
_cell_angle_alpha 90.00
_cell_angle_beta 90.00
_cell_angle_gamma 90.00
_symmetry_space_group_name_H-M 'P 4/m m m'
_symmetry_Int_Tables_number 123
_symmetry_space_group_name_Hall '-P 4 2'
loop_
_atom_site_label
_atom_site_type_symbol
_atom_site_fract_x
_atom_site_fract_y
_atom_site_fract_z
B1 B 0.000 0.000 0.000
Te1 Te 0.000 0.000 0.500
H1 H 0.500 0.500 0.500
I1 I 0.000 0.500 0.000


So which one is most stable? That would be version x, about 0.104 eV/atom below the next structure.


Version w
# In2BH, relaxed, DFT PBE
# M_tot: 0.00 μB per formula unit
# Calculated volume: 58.1 Å³/f.u.
# Theoretical density: 6.9 g/cm³
data_In2BH
_chemical_formula_sum 'In8 B4 H4'
_cell_length_a 6.148
_cell_length_b 6.148
_cell_length_c 6.148
_cell_angle_alpha 90.00
_cell_angle_beta 90.00
_cell_angle_gamma 90.00
_symmetry_space_group_name_H-M 'F m -3 m'
_symmetry_Int_Tables_number 225
_symmetry_space_group_name_Hall '-F 4 2 3'
loop_
_atom_site_label
_atom_site_type_symbol
_atom_site_fract_x
_atom_site_fract_y
_atom_site_fract_z
In1 In 0.250 0.250 0.250
B1 B 0.000 0.000 0.000
H1 H 0.000 0.000 0.500


Version x
# In2BH, relaxed, DFT PBE
# M_tot: 0.00 μB per formula unit
# Calculated volume: 72.7 Å³/f.u.
# Theoretical density: 5.5 g/cm³
data_In2BH
_chemical_formula_sum 'In8 B4 H4'
_cell_length_a 4.974
_cell_length_b 4.974
_cell_length_c 11.759
_cell_angle_alpha 90.00
_cell_angle_beta 90.00
_cell_angle_gamma 90.00
_symmetry_space_group_name_H-M 'I -4 2 d'
_symmetry_Int_Tables_number 122
_symmetry_space_group_name_Hall 'I -4 2bw'
loop_
_atom_site_label
_atom_site_type_symbol
_atom_site_fract_x
_atom_site_fract_y
_atom_site_fract_z
In1 In 0.237 0.250 0.125
B1 B 0.000 0.000 0.000
H1 H 0.000 0.000 0.500


So which one is most stable? That would be version x, about 0.244 eV/atom below the next structure.


Version w
# InBH2, relaxed, DFT PBE
# M_tot: 0.00 μB per formula unit
# Calculated volume: 41.9 Å³/f.u.
# Theoretical density: 5.1 g/cm³
data_InBH2
_chemical_formula_sum 'In4 B4 H8'
_cell_length_a 4.809
_cell_length_b 4.809
_cell_length_c 7.247
_cell_angle_alpha 90.00
_cell_angle_beta 90.00
_cell_angle_gamma 90.00
_symmetry_space_group_name_H-M 'I 41/a m d'
_symmetry_Int_Tables_number 141
loop_
_symmetry_equiv_pos_as_xyz
'x,y,z'
'-x,-y,-z'
'-y+1/4,x+3/4,z+1/4'
'y+1/4,-x+3/4,-z+1/4'
'-x+1/2,-y,z+1/2'
'x+1/2,y,-z+1/2'
'y+1/4,-x+1/4,z+3/4'
'-y+1/4,x+1/4,-z+3/4'
'x,-y,-z'
'-x,y,z'
'-y+1/4,-x+1/4,-z+3/4'
'y+1/4,x+1/4,z+3/4'
'-x+1/2,y,-z+1/2'
'x+1/2,-y,z+1/2'
'y+1/4,x+3/4,-z+1/4'
'-y+1/4,-x+3/4,z+1/4'
'x+1/2,y+1/2,z+1/2'
'-x+1/2,-y+1/2,-z+1/2'
'-y+3/4,x+1/4,z+3/4'
'y+3/4,-x+1/4,-z+3/4'
'-x,-y+1/2,z'
'x,y+1/2,-z'
'y+3/4,-x+3/4,z+1/4'
'-y+3/4,x+3/4,-z+1/4'
'x+1/2,-y+1/2,-z+1/2'
'-x+1/2,y+1/2,z+1/2'
'-y+3/4,-x+3/4,-z+1/4'
'y+3/4,x+3/4,z+1/4'
'-x,y+1/2,-z'
'x,-y+1/2,z'
'y+3/4,x+1/4,-z+3/4'
'-y+3/4,-x+1/4,z+3/4'
loop_
_atom_site_label
_atom_site_type_symbol
_atom_site_fract_x
_atom_site_fract_y
_atom_site_fract_z
In1 In 0.000 0.250 0.375
B1 B 0.000 0.250 0.875
H1 H 0.000 0.000 0.000


Version x
# InBH2, relaxed, DFT PBE
# M_tot: 0.00 μB per formula unit
# Calculated volume: 38.2 Å³/f.u.
# Theoretical density: 5.5 g/cm³
data_InBH2
_chemical_formula_sum 'In4 B4 H8'
_cell_length_a 5.347
_cell_length_b 5.347
_cell_length_c 5.347
_cell_angle_alpha 90.00
_cell_angle_beta 90.00
_cell_angle_gamma 90.00
_symmetry_space_group_name_H-M 'F m -3 m'
_symmetry_Int_Tables_number 225
_symmetry_space_group_name_Hall '-F 4 2 3'
loop_
_atom_site_label
_atom_site_type_symbol
_atom_site_fract_x
_atom_site_fract_y
_atom_site_fract_z
In1 In 0.000 0.000 0.000
B1 B 0.000 0.000 0.500
H1 H 0.250 0.250 0.250


So which one is most stable? That would be version w, about 0.565 eV/atom below the next structure.


Version w
# InB2H, relaxed, DFT PBE
# M_tot: 0.00 μB per formula unit
# Calculated volume: 45.0 Å³/f.u.
# Theoretical density: 5.1 g/cm³
data_InB2H
_chemical_formula_sum 'In4 B8 H4'
_cell_length_a 5.645
_cell_length_b 5.645
_cell_length_c 5.645
_cell_angle_alpha 90.00
_cell_angle_beta 90.00
_cell_angle_gamma 90.00
_symmetry_space_group_name_H-M 'F m -3 m'
_symmetry_Int_Tables_number 225
_symmetry_space_group_name_Hall '-F 4 2 3'
loop_
_atom_site_label
_atom_site_type_symbol
_atom_site_fract_x
_atom_site_fract_y
_atom_site_fract_z
In1 In 0.000 0.000 0.000
B1 B 0.250 0.250 0.250
H1 H 0.000 0.000 0.500


Version x
# InB2H, relaxed, DFT PBE
# M_tot: 0.00 μB per formula unit
# Calculated volume: 43.8 Å³/f.u.
# Theoretical density: 5.2 g/cm³
data_InB2H
_chemical_formula_sum 'In4 B8 H4'
_cell_length_a 3.295
_cell_length_b 3.295
_cell_length_c 16.124
_cell_angle_alpha 90.00
_cell_angle_beta 90.00
_cell_angle_gamma 90.00
_symmetry_space_group_name_H-M 'I 41/a m d'
_symmetry_Int_Tables_number 141
loop_
_symmetry_equiv_pos_as_xyz
'x,y,z'
'-x,-y,-z'
'-y+1/4,x+3/4,z+1/4'
'y+1/4,-x+3/4,-z+1/4'
'-x+1/2,-y,z+1/2'
'x+1/2,y,-z+1/2'
'y+1/4,-x+1/4,z+3/4'
'-y+1/4,x+1/4,-z+3/4'
'x,-y,-z'
'-x,y,z'
'-y+1/4,-x+1/4,-z+3/4'
'y+1/4,x+1/4,z+3/4'
'-x+1/2,y,-z+1/2'
'x+1/2,-y,z+1/2'
'y+1/4,x+3/4,-z+1/4'
'-y+1/4,-x+3/4,z+1/4'
'x+1/2,y+1/2,z+1/2'
'-x+1/2,-y+1/2,-z+1/2'
'-y+3/4,x+1/4,z+3/4'
'y+3/4,-x+1/4,-z+3/4'
'-x,-y+1/2,z'
'x,y+1/2,-z'
'y+3/4,-x+3/4,z+1/4'
'-y+3/4,x+3/4,-z+1/4'
'x+1/2,-y+1/2,-z+1/2'
'-x+1/2,y+1/2,z+1/2'
'-y+3/4,-x+3/4,-z+1/4'
'y+3/4,x+3/4,z+1/4'
'-x,y+1/2,-z'
'x,-y+1/2,z'
'y+3/4,x+1/4,-z+3/4'
'-y+3/4,-x+1/4,z+3/4'
loop_
_atom_site_label
_atom_site_type_symbol
_atom_site_fract_x
_atom_site_fract_y
_atom_site_fract_z
In1 In 0.000 0.250 0.375
B1 B 0.000 0.000 0.000
H1 H 0.000 0.250 0.875


So which one is most stable? That would be version x, about 0.955 eV/atom below the next structure.


Version w
# BH3Ir, relaxed, DFT PBE
# M_tot: 0.00 μB per formula unit
# Calculated volume: 31.0 Å³/f.u.
# Theoretical density: 11.1 g/cm³
data_BH3Ir
_chemical_formula_sum 'B1 H3 Ir1'
_cell_length_a 3.140
_cell_length_b 3.140
_cell_length_c 3.140
_cell_angle_alpha 90.00
_cell_angle_beta 90.00
_cell_angle_gamma 90.00
_symmetry_space_group_name_H-M 'P m -3 m'
_symmetry_Int_Tables_number 221
_symmetry_space_group_name_Hall '-P 4 2 3'
loop_
_atom_site_label
_atom_site_type_symbol
_atom_site_fract_x
_atom_site_fract_y
_atom_site_fract_z
B1 B 0.000 0.000 0.000
H1 H 0.000 0.000 0.500
Ir1 Ir 0.500 0.500 0.500


Version x
# BH3Ir, relaxed, DFT PBE
# M_tot: 0.00 μB per formula unit
# Calculated volume: 40.8 Å³/f.u.
# Theoretical density: 8.4 g/cm³
data_BH3Ir
_chemical_formula_sum 'B1 H3 Ir1'
_cell_length_a 3.442
_cell_length_b 3.442
_cell_length_c 3.442
_cell_angle_alpha 90.00
_cell_angle_beta 90.00
_cell_angle_gamma 90.00
_symmetry_space_group_name_H-M 'P m -3 m'
_symmetry_Int_Tables_number 221
_symmetry_space_group_name_Hall '-P 4 2 3'
loop_
_atom_site_label
_atom_site_type_symbol
_atom_site_fract_x
_atom_site_fract_y
_atom_site_fract_z
B1 B 0.000 0.000 0.000
H1 H 0.000 0.500 0.500
Ir1 Ir 0.500 0.500 0.500


So which one is most stable? That would be version x, about 0.199 eV/atom below the next structure.


Version w
# KB3H, relaxed, DFT PBE
# M_tot: 0.00 μB per formula unit
# Calculated volume: 59.9 Å³/f.u.
# Theoretical density: 2.0 g/cm³
data_KB3H
_chemical_formula_sum 'K1 B3 H1'
_cell_length_a 3.913
_cell_length_b 3.913
_cell_length_c 3.913
_cell_angle_alpha 90.00
_cell_angle_beta 90.00
_cell_angle_gamma 90.00
_symmetry_space_group_name_H-M 'P m -3 m'
_symmetry_Int_Tables_number 221
_symmetry_space_group_name_Hall '-P 4 2 3'
loop_
_atom_site_label
_atom_site_type_symbol
_atom_site_fract_x
_atom_site_fract_y
_atom_site_fract_z
K1 K 0.000 0.000 0.000
B1 B 0.000 0.500 0.500
H1 H 0.500 0.500 0.500


Version x
# KB3H, relaxed, DFT PBE
# M_tot: 5.00 μB per formula unit
# Calculated volume: 213.8 Å³/f.u.
# Theoretical density: 0.6 g/cm³
data_KB3H
_chemical_formula_sum 'K1 B3 H1'
_cell_length_a 5.980
_cell_length_b 5.980
_cell_length_c 5.980
_cell_angle_alpha 90.00
_cell_angle_beta 90.00
_cell_angle_gamma 90.00
_symmetry_space_group_name_H-M 'P m -3 m'
_symmetry_Int_Tables_number 221
_symmetry_space_group_name_Hall '-P 4 2 3'
loop_
_atom_site_label
_atom_site_type_symbol
_atom_site_fract_x
_atom_site_fract_y
_atom_site_fract_z
K1 K 0.000 0.000 0.000
B1 B 0.000 0.000 0.500
H1 H 0.500 0.500 0.500


So which one is most stable? That would be version w, about 1.362 eV/atom below the next structure.


Version w
# K2BH4, relaxed, DFT PBE
# M_tot: 0.00 μB per formula unit
# Calculated volume: 147.3 Å³/f.u.
# Theoretical density: 1.0 g/cm³
data_K2BH4
_chemical_formula_sum 'K4 B2 H8'
_cell_length_a 7.865
_cell_length_b 4.678
_cell_length_c 8.445
_cell_angle_alpha 90.00
_cell_angle_beta 108.47
_cell_angle_gamma 90.00
_symmetry_space_group_name_H-M 'P 1 21/m 1'
_symmetry_Int_Tables_number 11
loop_
_symmetry_equiv_pos_as_xyz
'x,y,z'
'-x,-y,-z'
'-x,y+1/2,-z'
'x,-y+1/2,z'
loop_
_atom_site_label
_atom_site_type_symbol
_atom_site_fract_x
_atom_site_fract_y
_atom_site_fract_z
K1 K 0.000 0.250 0.246
K2 K 0.496 0.250 0.748
B1 B 0.245 0.750 0.494
H1 H 0.080 0.750 0.444
H2 H 0.298 0.750 0.649
H3 H 0.302 0.535 0.444


Version x
# K2BH4, relaxed, DFT PBE
# M_tot: 0.11 μB per formula unit
# Calculated volume: 103.9 Å³/f.u.
# Theoretical density: 1.5 g/cm³
data_K2BH4
_chemical_formula_sum 'K4 B2 H8'
_cell_length_a 3.601
_cell_length_b 3.601
_cell_length_c 16.021
_cell_angle_alpha 90.00
_cell_angle_beta 90.00
_cell_angle_gamma 90.00
_symmetry_space_group_name_H-M 'I 4/m m m'
_symmetry_Int_Tables_number 139
_symmetry_space_group_name_Hall '-I 4 2'
loop_
_atom_site_label
_atom_site_type_symbol
_atom_site_fract_x
_atom_site_fract_y
_atom_site_fract_z
K1 K 0.000 0.000 0.121
B1 B 0.000 0.000 0.500
H1 H 0.000 0.000 0.423
H2 H 0.000 0.500 0.000


So which one is most stable? That would be version w, about 0.469 eV/atom below the next structure.